# PBE+U RbSrMo2O8, optimized geometry
# SG: No. 119
# VASP energy in eV per atom: -6.512
# V in Å³/f.u.: 233
data_RbSrMo2O8
_chemical_formula_sum 'Rb1 Sr1 Mo2 O8'
_symmetry_space_group_name_H-M 'P 1'
_symmetry_Int_Tables_number 1
_symmetry_space_group_name_Hall 'P 1'
_cell_length_a 6.736
_cell_length_b 6.736
_cell_length_c 6.736
_cell_angle_alpha 106.43
_cell_angle_beta 106.43
_cell_angle_gamma 115.73
loop_
_atom_site_label
_atom_site_type_symbol
_atom_site_fract_x
_atom_site_fract_y
_atom_site_fract_z
Rb1 Rb 0.000 0.000 0.000
Sr1 Sr 0.250 0.750 0.500
Mo1 Mo 0.500 0.500 0.000
Mo2 Mo 0.750 0.250 0.500
O1 O 0.357 0.173 0.816
O2 O 0.357 0.541 0.184
O3 O 0.419 0.091 0.328
O4 O 0.459 0.643 0.816
O5 O 0.763 0.091 0.672
O6 O 0.827 0.643 0.184
O7 O 0.909 0.237 0.328
O8 O 0.909 0.581 0.672